--- one ---
Mn2ReAu: optimized geometry, PBEsol.

a b c (Å): 6.0683 6.0683 6.0683
angles (deg): 90.00 90.00 90.00
Last column: nearest neighbours and their distance in Å.
Space group Fm-3m (No. 225)
Symmetry-distinct sites (fractional):
Mn1 0.2500 0.2500 0.2500 [8 per cell]  4 Re 2.63, 4 Au 2.63
Re1 0.0000 0.0000 0.0000 [4 per cell]  8 Mn 2.63
Au1 0.0000 0.0000 0.5000 [4 per cell]  8 Mn 2.63

---

--- two ---
Mn2ReAu: optimized geometry, PBEsol.

a b c (Å): 2.6970 2.6970 7.4559
angles (deg): 90.00 90.00 90.00
Last column: nearest neighbours and their distance in Å.
Space group P4mm (No. 99)
Symmetry-distinct sites (fractional):
Mn1 0.0000 0.0000 0.0000 [1 per cell]  8 Mn 2.48-2.70, 4 Re 2.51
Mn2 0.5000 0.5000 0.2131 [1 per cell]  8 Mn 2.48-2.70
Re1 0.5000 0.5000 0.7803 [1 per cell]  4 Mn 2.51, 4 Re 2.70
Au1 0.0000 0.0000 0.4860 [1 per cell]  4 Au 2.70, 4 Mn 2.79, 4 Re 2.91

---

Which is the most stable structure? two is the most stable.

---

--- one ---
MnReAu2: optimized geometry, PBEsol.

a b c (Å): 2.7968 2.7968 27.2251
angles (deg): 90.00 90.00 120.00
Last column: nearest neighbours and their distance in Å.
Space group R-3m (No. 166, hexagonal axes)
Symmetry-distinct sites (fractional):
Mn1 0.0000 0.0000 0.0000 [3 per cell]  6 Au 2.74, 6 Mn 2.80
Re1 0.0000 0.0000 0.5000 [3 per cell]  6 Re 2.80, 6 Au 2.83
Au1 0.0000 0.0000 0.2520 [6 per cell]  3 Mn 2.74, 6 Au 2.80, 3 Re 2.83

---

--- two ---
MnReAu2: optimized geometry, PBEsol.

a b c (Å): 2.7612 3.7146 5.9058
angles (deg): 90.00 92.14 90.00
Last column: nearest neighbours and their distance in Å.
Space group Pm (No. 6)
Symmetry-distinct sites (fractional):
Mn1 0.0000 0.0000 0.0000 [1 per cell]  2 Re 2.45
Re1 0.4143 0.5000 0.1979 [1 per cell]  2 Mn 2.45, 1 Au 2.72
Au1 0.4688 0.5000 0.7396 [1 per cell]  1 Re 2.72, 6 Au 2.76-2.83, 4 Mn 2.76-2.79
Au2 0.9491 0.0000 0.4647 [1 per cell]  1 Mn 2.75, 6 Au 2.76-2.83, 4 Re 2.78-2.82

---

Which is the most stable structure? two is the most stable.